1.
Below is a geometry-optimized CsDyAgSe3 structure, with properties calculated at the PBE-GGA level.

The calculation puts the formation energy from raw total energies at -658 kJ/mol of formula units.

It has space group Cmcm (No. 63), with a = 4.168 Å, b = 16.608 Å, c = 10.851 Å, α = 90.00°, β = 90.00° and γ = 90.00°. Symmetry generates all atoms from Cs at (0.000, 0.249, 0.250), Dy at (0.000, 0.500, 0.000), Ag at (0.000, 0.035, 0.750), Se at (0.000, 0.117, 0.545) and Se at (0.000, 0.435, 0.750).


2.
Below is a geometry-optimized CoGeAsPt structure, with properties calculated at the PBE-GGA level.

The formation energy from the elements comes out at -315 meV/atom.

It has space group P3m1 (No. 156), with a = 3.7181 Å, b = 3.7181 Å, c = 5.2259 Å, α = 90.00°, β = 90.00° and γ = 120.00°. Symmetry generates all atoms from Co at (0.0000, 0.0000, 0.0000), Ge at (0.3333, 0.6667, 0.2325), As at (0.6667, 0.3333, 0.7977) and Pt at (0.0000, 0.0000, 0.5009).


3.
Below is a geometry-optimized YMnRu2 structure, with properties calculated at the PBE-GGA level.

The formation energy from the elements comes out at 122 meV/atom.

It has space group C2/m (No. 12), with a = 8.831 Å, b = 3.051 Å, c = 5.267 Å, α = 90.00°, β = 105.11° and γ = 90.00°. Symmetry generates all atoms from Y at (0.000, 0.000, 0.000), Mn at (0.000, 0.500, 0.500) and Ru at (0.232, 0.000, 0.691).


4.
Below is a geometry-optimized TaRu2Au structure, with properties calculated at the PBE-GGA level.

The formation energy from the elements comes out at 134 meV/atom.

It has space group Cmmm (No. 65), with a = 3.170 Å, b = 4.682 Å, c = 8.839 Å, α = 90.00°, β = 90.00° and γ = 90.00°. Symmetry generates all atoms from Ta at (0.000, 0.000, 0.000), Ru at (0.000, 0.500, 0.231) and Au at (0.000, 0.000, 0.500).


5.
Below is a geometry-optimized RbCaTl2 structure, with properties calculated at the PBE-GGA level.

The formation energy from the elements comes out at 84 meV/atom.

It has space group I-42d (No. 122), with a = 9.341 Å, b = 9.341 Å, c = 7.430 Å, α = 90.00°, β = 90.00° and γ = 90.00°. Symmetry generates all atoms from Rb at (0.000, 0.000, 0.000), Ca at (0.000, 0.000, 0.500) and Tl at (0.217, 0.750, 0.625).


6.
Below is a geometry-optimized TaMn2Br structure, with properties calculated at the PBE-GGA level.

The calculation puts the formation energy from raw total energies at 246 kJ/mol of formula units.

It has space group Immm (No. 71), with a = 3.138 Å, b = 4.802 Å, c = 8.626 Å, α = 90.00°, β = 90.00° and γ = 90.00°. Symmetry generates all atoms from Ta at (0.000, 0.000, 0.000), Mn at (0.000, 0.500, 0.249) and Br at (0.000, 0.000, 0.500).